# 1
{"formula": "Rb2ScTa2", "functional": "PBE-GGA", "state": "relaxed", "e_form_mev_per_atom": 1721, "polymorph_energy_mev_per_atom": 522, "lattice": [[10.526, 0.000, 0.000], [0.000, 10.526, 0.000], [0.000, 0.000, 2.974]], "species": ["Sc", "Sc", "Ta", "Ta", "Ta", "Ta", "Rb", "Rb", "Rb", "Rb"], "fractional_positions": [[0.500, 0.500, 0.000], [0.000, 0.000, 0.000], [0.084, 0.584, 0.500], [0.416, 0.084, 0.500], [0.916, 0.416, 0.500], [0.584, 0.916, 0.500], [0.793, 0.707, 0.000], [0.207, 0.293, 0.000], [0.293, 0.793, 0.000], [0.707, 0.207, 0.000]]}


# 2
{"formula": "HgIr2Os", "functional": "PBE-GGA", "state": "relaxed", "e_form_mev_per_atom": 486, "lattice": [[4.839, 0.002, 0.006], [4.019, 2.694, 0.006], [0.805, 0.245, 4.898]], "species": ["Ir", "Ir", "Os", "Hg"], "fractional_positions": [[0.752, 0.752, 0.734], [0.010, 0.010, 0.986], [0.489, 0.489, 0.538], [0.250, 0.250, 0.242]]}


# 3
{"formula": "Mo2CI", "functional": "PBE-GGA", "state": "relaxed", "formation_energy_uncorrected_mev_per_atom": 888, "polymorph_energy_mev_per_atom": 0, "lattice": [[-0.067, -3.064, -3.872], [4.697, -1.233, 0.895], [0.393, -6.782, 2.212]], "species": ["Mo", "Mo", "Mo", "Mo", "I", "I", "C", "C"], "fractional_positions": [[0.493, 0.125, 0.250], [0.257, 0.625, 0.250], [0.375, 0.507, 0.750], [0.875, 0.743, 0.750], [0.750, 0.250, 0.500], [0.000, 0.000, 0.000], [0.500, 0.500, 0.000], [0.250, 0.750, 0.500]]}


# 4
{"formula": "SmErH2", "functional": "PBE-GGA", "state": "relaxed", "polymorph_energy_mev_per_atom": 72, "lattice": [[-2.536, -2.077, -1.286], [-0.695, -3.090, 1.539], [-5.000, 0.902, 3.581]], "species": ["Sm", "H", "H", "Er"], "fractional_positions": [[0.672, 0.672, 0.984], [0.249, 0.249, 0.253], [0.086, 0.086, 0.741], [0.493, 0.493, 0.522]]}


# 5
{"formula": "Ti2V2P3", "functional": "PBE-GGA", "state": "relaxed", "e_form_mev_per_atom": -716, "lattice": [[-1.112, 2.299, 2.271], [-4.628, 1.940, -4.230], [-0.239, -5.566, 2.945]], "species": ["V", "V", "P", "P", "P", "Ti", "Ti"], "fractional_positions": [[0.850, 0.617, 0.699], [0.150, 0.383, 0.301], [0.000, 0.500, 0.000], [0.676, 0.166, 0.353], [0.324, 0.834, 0.647], [0.653, 0.767, 0.305], [0.347, 0.233, 0.695]]}


# 6
{"formula": "TaTc2Pt", "functional": "PBE-GGA", "state": "relaxed", "e_form_mev_per_atom": -226, "polymorph_energy_mev_per_atom": 133, "lattice": [[2.815, 0.000, 0.000], [0.000, 2.815, 0.000], [0.000, 0.000, 7.909]], "species": ["Pt", "Tc", "Tc", "Ta"], "fractional_positions": [[0.000, 0.000, 0.494], [0.000, 0.000, 0.017], [0.500, 0.500, 0.236], [0.500, 0.500, 0.753]]}